A plane-wave DFT calculation with PBE-GGA was carried out for AuCl3 after structural relaxation.

## Properties
Formation energy from raw total energies in eV per atom: 0.59

Cell lengths 6.860, 6.860, 6.860 Å; angles 90.00, 90.00, 90.00 degrees
Space group Fm-3m (No. 225)
One atom of each set of equivalent atoms:
Au1 0.000 0.000 0.000 x4
Cl1 0.000 0.000 0.500 x4
Cl2 0.250 0.250 0.250 x8